RbMnVO4 (GGA+U, optimized geometry); final energy = -97.61 eV per cell; space group = P2_1/m, No. 11; total magnetization = 10.0 Bohr magnetons per cell
1.0
5.267 0.000 0.000
0.000 6.027 0.000
-2.164 0.000 7.678
Rb Mn V O
2 2 2 8
Cartesian
0.734 1.507 0.958
2.369 4.520 6.720
-0.319 4.520 3.941
3.422 1.507 3.737
0.433 1.507 5.374
2.670 4.520 2.303
-0.695 0.129 5.231
-0.695 2.884 5.231
1.741 4.520 0.886
1.417 1.507 3.943
1.686 4.520 3.734
1.361 1.507 6.792
3.797 3.143 2.447
3.797 5.897 2.447